Crystalline AgI at its relaxed geometry, computed with PBEsol.

a = 4.552 Å, b = 4.552 Å, c = 4.552 Å
α = 60.00°, β = 60.00°, γ = 60.00°
Element x y z (fractional)
I1 0.250 0.250 0.250
Ag1 0.000 0.000 0.000

## Properties
formation energy without anion corrections	-0.4	eV per formula unit
ρ	5.85	g cm⁻³



Crystalline LaP2Ru at its relaxed geometry, computed with PBEsol.

a = 4.603 Å, b = 4.603 Å, c = 4.603 Å
α = 60.00°, β = 60.00°, γ = 60.00°
Element x y z (fractional)
La1 0.500 0.500 0.500
P1 0.750 0.750 0.750
P2 0.250 0.250 0.250
Ru1 0.000 0.000 0.000

## Properties
DFT formation energy	-0.40	eV per atom
excess energy over the best structure of this formula in the dataset	216.2	meV/atom
ρ	7.27	g cm⁻³



Crystalline CaTbRh2 at its relaxed geometry, computed with PBEsol.

a = 4.747 Å, b = 4.747 Å, c = 4.747 Å
α = 60.00°, β = 60.00°, γ = 60.00°
Element x y z (fractional)
Tb1 0.500 0.500 0.500
Rh1 0.750 0.750 0.750
Rh2 0.250 0.250 0.250
Ca1 0.000 0.000 0.000

## Properties
DFT formation energy	-0.54	eV per atom
ρ	8.89	g cm⁻³



ρ of number 3 (CaTbRh2)? 8.89 g cm⁻³



What is the ρ in the first record? 5.85 g cm⁻³



Which formula does entry 1 have? AgI



Which value of ρ does entry 3 give? 8.89 g cm⁻³